Entry 1:
VASP calculation (PBE) on a relaxed structure of AcErTl3.

Computed properties:
Size of the total moment = 0.00 μB per formula unit
Crystal system = monoclinic
DFT total energy = -3.415 eV per atom
Space group = C2/m (12)
Calculated formation energy = -0.2605 eV/atom

Unit cell a=6.630 b=5.195 c=10.774 alpha=103.95 beta=117.00 gamma=90.00
Element x y z (fractional)
Tl  0.909  0.781  0.563
Ac  0.138  0.411  0.822
Tl  0.293  0.029  0.058
Tl  0.593  0.376  0.752
Tl  0.407  0.624  0.248
Er  0.414  0.789  0.578
Er  0.586  0.211  0.422
Tl  0.707  0.971  0.942
Ac  0.862  0.589  0.178
Tl  0.091  0.219  0.437

=====

Entry 2:
VASP calculation (PBE) on a relaxed structure of Ac5Er4Tl4.

Computed properties:
Size of the total moment = 0.00 μB per formula unit
Crystal system = tetragonal
DFT total energy = -3.942 eV per atom
Space group = I4/m (87)
Calculated formation energy = -0.2299 eV/atom

Unit cell a=5.029 b=9.870 c=9.870 alpha=86.28 beta=75.24 gamma=75.24
Element x y z (fractional)
Er  0.581  0.322  0.516
Ac  0.298  0.075  0.329
Ac  0.627  0.671  0.075
Tl  0.932  0.816  0.319
Ac  0.702  0.925  0.671
Er  0.097  0.484  0.322
Tl  0.251  0.681  0.816
Tl  0.749  0.319  0.184
Er  0.419  0.678  0.484
Ac  0.000  0.000  0.000
Er  0.903  0.516  0.678
Tl  0.068  0.184  0.681
Ac  0.373  0.329  0.925

=====

Entry 3:
VASP calculation (PBE) on a relaxed structure of AcEr2Tl.

Computed properties:
E above lowest polymorph = 0.0 meV per atom
Size of the total moment = 0.00 μB per formula unit
Crystal system = tetragonal
DFT total energy = -4.039 eV per atom
Space group = P4/mmm (123)
Calculated formation energy = -0.1386 eV/atom

Unit cell a=3.720 b=3.720 c=9.234 alpha=90.00 beta=90.00 gamma=90.00
Element x y z (fractional)
Tl  0.500  0.500  0.000
Er  0.000  0.000  0.787
Ac  0.500  0.500  0.500
Er  0.000  0.000  0.213

=====

Entry 4:
VASP calculation (PBE) on a relaxed structure of AcEr5Tl4.

Computed properties:
Size of the total moment = 0.06 μB per formula unit
Crystal system = tetragonal
DFT total energy = -3.878 eV per atom
Space group = P4/mmm (123)
Calculated formation energy = -0.2395 eV/atom

Unit cell a=3.612 b=3.612 c=22.032 alpha=90.00 beta=90.00 gamma=90.00
Site moments in Bohr magnetons follow the coordinates.
Element x y z (fractional)
Er  0.500  0.500  0.689  0.13
Tl  0.000  0.000  0.406  0.00
Er  0.500  0.500  0.124  -0.03
Tl  0.000  0.000  0.217  0.00
Er  0.500  0.500  0.876  -0.03
Er  0.500  0.500  0.500  -0.13
Ac  0.000  0.000  0.000  0.00
Tl  0.000  0.000  0.594  0.00
Tl  0.000  0.000  0.783  0.00
Er  0.500  0.500  0.311  0.13